Entry from the Alexandria database: crystalline Ca2Be2VO6 at its relaxed geometry (PBE+U).

Geometry as extended XYZ:
```
11
Lattice="-0.4061 1.3906 -4.9880 2.9538 -4.0595 1.3321 -4.4236 -3.4128 -0.5913" Properties=species:S:1:pos:R:3 pbc="T T T"
Be -0.0876 -1.0444 -2.9884
Be -1.7883 -5.0372 -1.2588
O -1.3393 -5.5950 0.0920
O 0.7130 -2.3463 -2.9544
O -0.8098 -0.5861 -1.7213
O -0.5367 -0.4866 -4.3392
O -2.5889 -3.7353 -1.2928
O -1.0661 -5.4955 -2.5259
Ca 0.3727 -3.3700 -0.9699
Ca -2.2486 -2.7116 -3.2773
V 0.0000 0.0000 0.0000
```

Properties
The value obtained for the final energy is -74.63 eV/cell. Its space group is P-3 (147).

Entry from the Alexandria database: crystalline CaBeV2O6 at its relaxed geometry (PBE+U).

Geometry as extended XYZ:
```
20
Lattice="5.9589 0.1645 0.1708 2.1087 6.7103 0.3446 2.1087 0.0956 6.7185" Properties=species:S:1:pos:R:3 pbc="T T T"
O 8.4056 2.6978 5.7773
O 1.7706 4.2728 1.4566
O 7.8655 5.6340 6.9642
O 7.0630 1.9109 2.9360
O 5.2903 0.3022 1.4310
O 2.3108 1.3366 0.2697
O 4.0835 2.7809 1.9330
O 4.8860 6.6683 5.8028
O 3.1133 5.0596 4.2978
O 5.4262 5.5910 2.8246
O 4.7501 1.3795 4.4092
O 6.0927 4.1896 5.3008
V 4.9265 5.3872 4.5188
V 7.9059 4.3983 5.6364
V 2.2703 2.5722 1.5974
V 5.2498 1.5833 2.7150
Be 3.5984 1.3935 5.5502
Be 6.5779 5.5770 1.6837
Ca 3.5984 5.8011 1.3031
Ca 6.5779 1.1695 5.9307
```

Properties
The value obtained for the final energy is -147.11 eV/cell. Its space group is C2/c (15).

Entry from the Alexandria database: crystalline Ca2BeVO5 at its relaxed geometry (PBE+U).

Geometry as extended XYZ:
```
18
Lattice="3.0949 0.0000 0.0000 -1.5475 6.4863 0.0000 0.0000 0.0000 10.0493" Properties=species:S:1:pos:R:3 pbc="T T T"
O 0.0000 6.4766 2.9222
O 0.0000 4.0507 3.9945
O 0.0000 4.4593 0.0994
O 1.5475 5.8040 5.1324
O 0.0000 3.8011 6.6239
O 1.5475 2.4356 9.0192
O 1.5475 2.6852 1.5992
O 1.5475 0.0097 7.9469
O 1.5475 2.0270 5.1241
O 0.0000 0.6823 0.1078
Ca 1.5475 4.7806 8.2885
Ca 0.0000 1.2731 6.7834
Ca 0.0000 1.7057 3.2639
Ca 1.5475 5.2131 1.7587
Be 1.5475 0.7834 9.3113
Be 0.0000 5.7029 4.2866
V 0.0000 2.6385 0.2972
V 1.5475 3.8478 5.3219
```

Properties
The value obtained for the final energy is -126.89 eV/cell. Its space group is Cmc2_1 (36).

Entry from the Alexandria database: crystalline CaBeWO5 at its relaxed geometry (PBE+U).

Geometry as extended XYZ:
```
16
Lattice="-0.4967 -4.4708 -3.0680 -2.0138 -1.3590 4.8728 -4.8574 4.7390 -2.7851" Properties=species:S:1:pos:R:3 pbc="T T T"
O -1.1399 -1.5384 -0.2243
O -3.7642 1.2324 -0.5927
O -1.6225 -3.8486 -1.6011
O -5.7454 2.7578 0.6209
O -3.6036 -2.3233 -0.3875
O -6.2280 0.4476 -0.7559
O -4.2544 -0.6812 -4.5563
O -3.1134 -0.4096 3.5760
O -4.9500 0.3644 1.7107
O -2.4179 -1.4552 -2.6910
Be -2.1890 -2.3056 -1.2623
Be -5.1788 1.2147 0.2820
W -2.4287 2.3695 -1.3925
W 0.0000 0.0000 0.0000
Ca -4.6559 0.1422 -2.4550
Ca -2.7120 -1.2330 1.4748
```

Properties
The value obtained for the final energy is -115.76 eV/cell. Its space group is C2/c (15).